Record 1
First-principles (GGA-PBE) data for a relaxed structure of SrHg3Bi, as listed in Alexandria.

Unit cell a=7.075 b=8.920 c=10.000 alpha=106.11 beta=90.00 gamma=90.00
Sites, in units of the cell vectors:
Hg  0.725  0.486  0.988
Hg  0.991  0.660  0.818
Hg  0.877  0.869  0.628
Hg  0.275  0.514  0.012
Hg  0.509  0.660  0.318
Hg  0.623  0.869  0.128
Hg  0.775  0.486  0.488
Hg  0.225  0.514  0.512
Hg  0.009  0.340  0.182
Hg  0.123  0.131  0.372
Hg  0.377  0.131  0.872
Hg  0.491  0.340  0.682
Sr  0.994  0.726  0.292
Sr  0.506  0.726  0.792
Sr  0.494  0.274  0.208
Sr  0.006  0.274  0.708
Bi  0.322  0.925  0.558
Bi  0.822  0.075  0.942
Bi  0.678  0.075  0.442
Bi  0.178  0.925  0.058

Total moment, μB/f.u.: 0.00
Energy above the most stable polymorph in this dataset, meV/atom: 9
E_form, eV per atom: -0.320
Space-group type: No. 14

---

Record 2
First-principles (GGA-PBE) data for a relaxed structure of Sr2Hg2Bi, as listed in Alexandria.

Unit cell a=6.134 b=6.134 c=6.539 alpha=62.03 beta=62.03 gamma=90.00
Sites, in units of the cell vectors:
Sr  0.250  0.750  0.500
Sr  0.750  0.250  0.500
Bi  0.000  0.000  0.000
Hg  0.357  0.357  0.286
Hg  0.643  0.643  0.714

Total moment, μB/f.u.: 0.00
Energy above the most stable polymorph in this dataset, meV/atom: 201
E_form, eV per atom: -0.369
Space-group type: No. 139

---

Record 3
First-principles (GGA-PBE) data for a relaxed structure of Sr2HgBi2, as listed in Alexandria.

Unit cell a=9.866 b=9.866 c=3.800 alpha=90.00 beta=90.00 gamma=90.00
Sites, in units of the cell vectors:
Sr  0.860  0.640  0.000
Sr  0.140  0.360  0.000
Sr  0.360  0.860  0.000
Sr  0.640  0.140  0.000
Hg  0.000  0.000  0.000
Hg  0.500  0.500  0.000
Bi  0.839  0.339  0.500
Bi  0.661  0.839  0.500
Bi  0.339  0.161  0.500
Bi  0.161  0.661  0.500

Total moment, μB/f.u.: 0.00
E_form, eV per atom: -0.526
Space-group type: No. 127

---

Record 4
First-principles (GGA-PBE) data for a relaxed structure of SrHgBi, as listed in Alexandria.

Unit cell a=5.797 b=6.670 c=6.670 alpha=77.29 beta=64.28 gamma=64.29
Sites, in units of the cell vectors:
Bi  0.210  0.865  0.358
Bi  0.710  0.671  0.552
Hg  0.961  0.268  0.954
Hg  0.461  0.267  0.955
Sr  0.461  0.268  0.454
Sr  0.961  0.767  0.955

Total moment, μB/f.u.: 0.00
Energy above the most stable polymorph in this dataset, meV/atom: 89
E_form, eV per atom: -0.436
Space-group type: No. 46

---

What is the total moment in the first record? 0.00 μB/f.u.

---

total moment of number 2 (Sr2Hg2Bi)? 0.00 μB/f.u.